ScIn3Cu8 | PBE-GGA | optimized geometry

Values from the calculation:
The value obtained for the density is 8.20 g/cm³. The formation energy comes out at -0.120 eV per atom. The spin magnetization is 0.000 μB/atom. The value obtained for the raw total energy is -48.8 eV/cell.

Unit cell a=5.030 b=5.030 c=8.291 alpha=90.00 beta=90.00 gamma=120.00
Positions (direct):
Cu: 0.333 0.667 0.496
Cu: 0.333 0.667 0.001
Cu: 0.165 0.329 0.251
In: 0.000 0.000 0.933
Cu: 0.999 0.499 0.749
Cu: 0.501 0.499 0.749
In: 0.667 0.333 0.443
Sc: 0.000 0.000 0.566
Cu: 0.165 0.835 0.251
Cu: 0.671 0.835 0.251
Cu: 0.501 0.001 0.749
In: 0.667 0.333 0.063

Sc3In4Cu2 | PBE-GGA | optimized geometry

Values from the calculation:
The value obtained for the density is 6.50 g/cm³. The formation energy comes out at -0.313 eV per atom. The spin magnetization is 0.014 μB/atom. The value obtained for the raw total energy is -41.0 eV/cell.

Unit cell a=4.683 b=5.717 c=8.670 alpha=116.71 beta=90.00 gamma=114.18
Positions (direct):
Cu: 0.605 0.209 0.280
Sc: 0.000 0.000 0.000
In: 0.296 0.592 0.944
Sc: 0.661 0.322 0.666
In: 0.704 0.408 0.056
Sc: 0.339 0.678 0.334
Cu: 0.395 0.791 0.720
In: 0.072 0.144 0.393
In: 0.928 0.856 0.607

ScIn3Cu | PBE-GGA | optimized geometry

Values from the calculation:
The value obtained for the density is 6.05 g/cm³. The formation energy comes out at 0.182 eV per atom. The spin magnetization is 0.000 μB/atom. The value obtained for the raw total energy is -17.7 eV/cell.

Unit cell a=4.992 b=4.992 c=4.992 alpha=90.00 beta=90.00 gamma=90.00
Positions (direct):
Cu: 0.000 0.000 0.000
In: 0.000 0.500 0.000
In: 0.500 0.000 0.000
In: 0.000 0.000 0.500
Sc: 0.500 0.500 0.500

ScInCu2Si | PBE-GGA | optimized geometry

Values from the calculation:
The value obtained for the density is 4.63 g/cm³. The calculation puts the formation energy (no corrections) at 0.716 eV/atom. The spin magnetization is 0.000 μB/atom. The value obtained for the raw total energy is -19.1 eV/cell.

Unit cell a=4.681 b=5.149 c=4.681 alpha=90.00 beta=90.00 gamma=90.00
Positions (direct):
Si: 0.000 0.500 0.000
In: 0.000 0.000 0.000
Cu: 0.000 0.000 0.500
Cu: 0.500 0.000 0.000
Sc: 0.500 0.500 0.500

> Look up the spin magnetization of the second one.

0.014 μB/atom